Arrangement w

AcPRh: relaxed, PBE-GGA.

Computed properties:
Mass density, g/cm3: 8.942
N(E_F), states/eV/atom: 0.4324

Lattice parameters (Å, degrees): 4.1999 4.1999 4.3872 90.00 90.00 120.00
Space group P-6m2 (No. 187)
One atom of each set of equivalent atoms:
Ac: 0.0000 0.0000 0.0000 x1
P: 0.6667 0.3333 0.5000 x1
Rh: 0.3333 0.6667 0.5000 x1

=====

Arrangement x

AcPRh: relaxed, PBE-GGA.

Computed properties:
Mass density, g/cm3: 8.955
N(E_F), states/eV/atom: 0.2909

Lattice parameters (Å, degrees): 6.445 6.445 6.445 90.00 90.00 90.00
Space group P2_13 (No. 198)
One atom of each set of equivalent atoms:
Ac: 0.147 0.147 0.147 x4
P: 0.077 0.577 0.923 x4
Rh: 0.162 0.338 0.662 x4

=====

Stability check: which of them is least stable? arrangement w.